First-principles (PBE) data for a relaxed structure of Ta2Nb4P3N3, as listed in the Open Quantum Materials Database.

abc: 5.6479 5.6479 12.1498
angles: 103.29 103.29 60.05
Sites, in units of the cell vectors:
N1 0.5000 0.0000 0.0000
N2 0.1907 0.6566 0.0005
N3 0.3434 0.8093 0.4995
N4 0.0000 0.5000 0.5000
N5 0.6566 0.1907 0.5005
N6 0.8093 0.3434 0.9995
Nb1 0.1862 0.0507 0.1016
Nb2 0.8820 0.6986 0.1017
Nb3 0.3014 0.1180 0.3983
Nb4 0.9493 0.8138 0.3984
Nb5 0.0507 0.1862 0.6016
Nb6 0.6986 0.8820 0.6017
Nb7 0.1180 0.3014 0.8983
Nb8 0.8138 0.9493 0.8984
P1 0.5825 0.7486 0.2487
P2 0.9142 0.0858 0.2500
P3 0.2514 0.4175 0.2513
P4 0.7486 0.5825 0.7487
P5 0.0858 0.9142 0.7500
P6 0.4175 0.2514 0.7513
Ta1 0.5288 0.3509 0.0972
Ta2 0.6491 0.4712 0.4028
Ta3 0.3509 0.5288 0.5972
Ta4 0.4712 0.6491 0.9028

Output
raw total energy = -230.3 eV per cell



First-principles (PBE) data for a relaxed structure of SmAsN2O, as listed in the Open Quantum Materials Database.

abc: 7.9194 7.4454 11.1653
angles: 90.00 134.66 90.00
Sites, in units of the cell vectors:
As1 0.4564 0.5039 0.2185
As2 0.0246 0.4994 0.2446
As3 0.9754 0.9994 0.2554
As4 0.5436 0.0039 0.2815
As5 0.4564 0.9961 0.7185
As6 0.0246 0.0006 0.7446
As7 0.9754 0.5006 0.7554
As8 0.5436 0.4961 0.7815
N1 0.7935 0.5520 0.0095
N2 0.9163 0.2514 0.1897
N3 0.7053 0.9535 0.2139
N4 0.4137 0.7565 0.2248
N5 0.5863 0.2565 0.2752
N6 0.2947 0.4535 0.2861
N7 0.0837 0.7514 0.3103
N8 0.2065 0.0520 0.4905
N9 0.7935 0.9480 0.5095
N10 0.9163 0.2486 0.6897
N11 0.7053 0.5465 0.7139
N12 0.4137 0.7435 0.7248
N13 0.5863 0.2435 0.7752
N14 0.2947 0.0465 0.7861
N15 0.0837 0.7486 0.8103
N16 0.2065 0.4480 0.9905
O1 0.8085 0.9607 0.0249
O2 0.6909 0.5447 0.2161
O3 0.3091 0.0447 0.2839
O4 0.1915 0.4607 0.4751
O5 0.8085 0.5393 0.5249
O6 0.6909 0.9553 0.7161
O7 0.3091 0.4553 0.7839
O8 0.1915 0.0393 0.9751
Sm1 0.4968 0.2506 0.0171
Sm2 0.0079 0.2332 0.0234
Sm3 0.9921 0.7332 0.4766
Sm4 0.5032 0.7506 0.4829
Sm5 0.4968 0.2494 0.5171
Sm6 0.0079 0.2668 0.5234
Sm7 0.9921 0.7668 0.9766
Sm8 0.5032 0.7494 0.9829

Output
raw total energy = -280.5 eV per cell



First-principles (PBE) data for a relaxed structure of PrNdGe2, as listed in the Open Quantum Materials Database.

abc: 9.9692 9.9692 5.6794
angles: 90.00 90.00 155.79
Sites, in units of the cell vectors:
Ge1 0.9590 0.0410 0.2500
Ge2 0.1901 0.8099 0.2500
Ge3 0.8099 0.1901 0.7500
Ge4 0.0410 0.9590 0.7500
Nd1 0.8010 0.1990 0.2500
Nd2 0.1990 0.8010 0.7500
Pr1 0.5797 0.4203 0.2500
Pr2 0.4203 0.5797 0.7500

Output
raw total energy = -41.9 eV per cell



First-principles (PBE) data for a relaxed structure of Ho2Co17, as listed in the Open Quantum Materials Database.

abc: 6.2296 6.2296 6.2296
angles: 82.92 97.08 97.08
Sites, in units of the cell vectors:
Co1 0.5000 0.0000 0.0000
Co2 0.2900 0.2900 0.0000
Co3 0.0000 0.5000 0.0000
Co4 0.7100 0.7100 0.0000
Co5 0.9036 0.0964 0.0964
Co6 0.3465 0.6535 0.1505
Co7 0.0000 0.7100 0.2900
Co8 0.2900 0.0000 0.2900
Co9 0.1505 0.3465 0.3465
Co10 0.6535 0.8495 0.3465
Co11 0.0000 0.0000 0.5000
Co12 0.3465 0.1505 0.6535
Co13 0.8495 0.6535 0.6535
Co14 0.0000 0.2900 0.7100
Co15 0.7100 0.0000 0.7100
Co16 0.6535 0.3465 0.8495
Co17 0.0964 0.9036 0.9036
Ho1 0.6554 0.3446 0.3446
Ho2 0.3446 0.6554 0.6554

Output
E_form = 0.0786 eV/atom
raw total energy = -128.5 eV per cell



First-principles (PBE) data for a relaxed structure of PmNdEr, as listed in the Open Quantum Materials Database.

abc: 5.4847 5.4847 5.4847
angles: 60.00 60.00 60.00
Sites, in units of the cell vectors:
Er1 0.0000 0.0000 0.0000
Nd1 0.2500 0.2500 0.2500
Pm1 0.7500 0.7500 0.7500

Output
E_form = 0.6888 eV/atom
raw total energy = -12.0 eV per cell



First-principles (PBE) data for a relaxed structure of HfAuNO, as listed in the Open Quantum Materials Database.

abc: 5.9915 6.3752 7.0027
angles: 90.00 90.00 90.00
Sites, in units of the cell vectors:
Au1 0.5643 0.0675 0.3562
Au2 0.0643 0.4325 0.3562
Au3 0.5643 0.5675 0.6438
Au4 0.0643 0.9326 0.6438
Hf1 0.9789 0.0784 0.1251
Hf2 0.4789 0.4216 0.1251
Hf3 0.9789 0.5784 0.8749
Hf4 0.4789 0.9216 0.8749
N1 0.6356 0.1260 0.0684
N2 0.1356 0.3740 0.0684
N3 0.6356 0.6260 0.9316
N4 0.1356 0.8740 0.9316
O1 0.5236 0.5643 0.3575
O2 0.0236 0.9357 0.3575
O3 0.5236 0.0643 0.6425
O4 0.0236 0.4357 0.6425

Output
raw total energy = -125.2 eV per cell



First-principles (PBE) data for a relaxed structure of ZnCuSiTc, as listed in the Open Quantum Materials Database.

abc: 4.2317 4.2317 4.2317
angles: 60.00 60.00 60.00
Sites, in units of the cell vectors:
Cu1 0.7500 0.7500 0.7500
Si1 0.0000 0.0000 0.0000
Tc1 0.5000 0.5000 0.5000
Zn1 0.2500 0.2500 0.2500

Output
raw total energy = -19.1 eV per cell



First-principles (PBE) data for a relaxed structure of Zr2Cu2SiSnAs2, as listed in the Open Quantum Materials Database.

abc: 3.7908 3.7908 9.6761
angles: 90.00 90.00 90.00
Sites, in units of the cell vectors:
As1 0.0000 0.5000 0.3258
As2 0.5000 0.0000 0.6742
Cu1 0.0000 0.0000 0.5000
Cu2 0.5000 0.5000 0.5000
Si1 0.0000 0.0000 0.0000
Sn1 0.5000 0.5000 0.0000
Zr1 0.5000 0.0000 0.2349
Zr2 0.0000 0.5000 0.7651

Output
raw total energy = -47.4 eV per cell



First-principles (PBE) data for a relaxed structure of Li2ZrScIn2Pd2, as listed in the Open Quantum Materials Database.

abc: 4.6323 4.6323 6.5424
angles: 90.00 90.00 90.00
Sites, in units of the cell vectors:
In1 0.5000 0.5000 0.0000
In2 0.0000 0.0000 0.5000
Li1 0.5000 0.0000 0.2540
Li2 0.0000 0.5000 0.7460
Pd1 0.0000 0.5000 0.2483
Pd2 0.5000 0.0000 0.7517
Sc1 0.5000 0.5000 0.5000
Zr1 0.0000 0.0000 0.0000

Output
raw total energy = -39.3 eV per cell



First-principles (PBE) data for a relaxed structure of NdInAg3O4, as listed in the Open Quantum Materials Database.

abc: 5.4201 5.4201 5.4201
angles: 90.00 90.00 90.00
Sites, in units of the cell vectors:
Ag1 0.5000 0.5000 0.0000
Ag2 0.5000 0.0000 0.5000
Ag3 0.0000 0.5000 0.5000
In1 0.0000 0.0000 0.0000
Nd1 0.5000 0.5000 0.5000
O1 0.2423 0.2423 0.2423
O2 0.7577 0.7577 0.2423
O3 0.7577 0.2423 0.7577
O4 0.2423 0.7577 0.7577

Output
raw total energy = -41.9 eV per cell



First-principles (PBE) data for a relaxed structure of Pr2InReO6, as listed in the Open Quantum Materials Database.

abc: 5.7420 5.7420 5.7420
angles: 60.00 60.00 60.00
Sites, in units of the cell vectors:
In1 0.0000 0.0000 0.0000
O1 0.7454 0.7454 0.2546
O2 0.7454 0.2546 0.2546
O3 0.2546 0.7454 0.2546
O4 0.7454 0.2546 0.7454
O5 0.2546 0.2546 0.7454
O6 0.2546 0.7454 0.7454
Pr1 0.2500 0.2500 0.2500
Pr2 0.7500 0.7500 0.7500
Re1 0.5000 0.5000 0.5000

Output
raw total energy = -73.6 eV per cell



First-principles (PBE) data for a relaxed structure of Ho2FePt, as listed in the Open Quantum Materials Database.

abc: 4.1767 5.6216 7.3169
angles: 90.00 90.00 90.00
Sites, in units of the cell vectors:
Fe1 0.5000 0.6192 0.4626
Fe2 0.5000 0.3808 0.9626
Ho1 0.0000 0.6266 0.1747
Ho2 0.5000 0.1234 0.3250
Ho3 0.0000 0.3734 0.6747
Ho4 0.5000 0.8766 0.8250
Pt1 0.0000 0.1288 0.0377
Pt2 0.0000 0.8712 0.5377

Output
E_form = -0.5785 eV/atom
raw total energy = -51.7 eV per cell



First-principles (PBE) data for a relaxed structure of FeSiTcNi, as listed in the Open Quantum Materials Database.

abc: 4.1028 4.1028 4.1028
angles: 60.00 60.00 60.00
Sites, in units of the cell vectors:
Fe1 0.5000 0.5000 0.5000
Ni1 0.7500 0.7500 0.7500
Si1 0.0000 0.0000 0.0000
Tc1 0.2500 0.2500 0.2500

Output
raw total energy = -30.6 eV per cell



First-principles (PBE) data for a relaxed structure of Pr2NdGaI3, as listed in the Open Quantum Materials Database.

abc: 6.2890 6.2890 6.2955
angles: 90.00 90.00 90.00
Sites, in units of the cell vectors:
Ga1 0.0000 0.0000 0.5000
I1 0.5000 0.0000 0.0000
I2 0.0000 0.5000 0.0000
I3 0.5000 0.5000 0.5000
Nd1 0.0000 0.0000 0.0000
Pr1 0.5000 0.0000 0.5000
Pr2 0.0000 0.5000 0.5000

Output
raw total energy = -29.1 eV per cell



First-principles (PBE) data for a relaxed structure of Li4TlTcO6, as listed in the Open Quantum Materials Database.

abc: 5.3727 5.3727 5.1931
angles: 99.99 99.99 120.07
Sites, in units of the cell vectors:
Li1 0.4996 0.5004 0.0000
Li2 0.0112 0.9888 0.5000
Li3 0.6575 0.3425 0.5000
Li4 0.3402 0.6598 0.5000
O1 0.9356 0.6173 0.2309
O2 0.5391 0.9042 0.2466
O3 0.2567 0.2213 0.2474
O4 0.7787 0.7433 0.7526
O5 0.0958 0.4609 0.7534
O6 0.3827 0.0644 0.7691
Tc1 0.1675 0.8325 0.0000
Tl1 0.8354 0.1646 0.0000

Output
raw total energy = -68.1 eV per cell



First-principles (PBE) data for a relaxed structure of NdPaFe, as listed in the Open Quantum Materials Database.

abc: 4.6721 4.6721 4.6721
angles: 60.00 60.00 60.00
Sites, in units of the cell vectors:
Fe1 0.0000 0.0000 0.0000
Nd1 0.2500 0.2500 0.2500
Pa1 0.7500 0.7500 0.7500

Output
E_form = 0.3776 eV/atom
raw total energy = -21.4 eV per cell



First-principles (PBE) data for a relaxed structure of FeBSb, as listed in the Open Quantum Materials Database.

abc: 3.9293 3.9293 3.9293
angles: 60.00 60.00 60.00
Sites, in units of the cell vectors:
B1 0.2500 0.2500 0.2500
Fe1 0.0000 0.0000 0.0000
Sb1 0.7500 0.7500 0.7500

Output
raw total energy = -16.8 eV per cell



First-principles (PBE) data for a relaxed structure of LaMgCdPt, as listed in the Open Quantum Materials Database.

abc: 8.4786 5.5863 5.5863
angles: 45.24 90.00 90.00
Sites, in units of the cell vectors:
Cd1 0.2981 0.6438 0.6438
Cd2 0.7019 0.6438 0.6438
La1 0.0000 0.0633 0.0633
La2 0.5000 0.9404 0.9404
Mg1 0.1976 0.3453 0.3453
Mg2 0.8024 0.3453 0.3453
Pt1 0.5000 0.2355 0.2355
Pt2 0.0000 0.7826 0.7826

Output
raw total energy = -32.7 eV per cell



First-principles (PBE) data for a relaxed structure of HfMg, as listed in the Open Quantum Materials Database.

abc: 4.0434 4.0434 4.0434
angles: 60.00 60.00 60.00
Sites, in units of the cell vectors:
Hf1 0.0000 0.0000 0.0000
Mg1 0.5000 0.5000 0.5000

Output
raw total energy = -9.6 eV per cell



First-principles (PBE) data for a relaxed structure of LiAlGePd, as listed in the Open Quantum Materials Database.

abc: 4.3870 4.3870 4.3870
angles: 60.00 60.00 60.00
Sites, in units of the cell vectors:
Al1 0.2500 0.2500 0.2500
Ge1 0.0000 0.0000 0.0000
Li1 0.7500 0.7500 0.7500
Pd1 0.5000 0.5000 0.5000

Output
raw total energy = -17.1 eV per cell